(1)
Crystalline LiCaCu5 at its relaxed geometry. Source: Alexandria via LeMat-Bulk, functional PBE-GGA.

Unit cell a=8.320 b=4.954 c=10.476 alpha=90.00 beta=90.00 gamma=90.00
Fractional positions:
Li  0.141  0.250  0.138
Li  0.359  0.750  0.638
Li  0.641  0.250  0.362
Li  0.859  0.750  0.862
Ca  0.242  0.750  0.937
Ca  0.258  0.250  0.437
Ca  0.742  0.750  0.563
Ca  0.758  0.250  0.063
Cu  0.051  0.250  0.895
Cu  0.069  0.502  0.688
Cu  0.069  0.998  0.688
Cu  0.082  0.750  0.485
Cu  0.187  0.750  0.259
Cu  0.313  0.250  0.759
Cu  0.418  0.250  0.985
Cu  0.431  0.002  0.188
Cu  0.431  0.498  0.188
Cu  0.449  0.750  0.395
Cu  0.551  0.250  0.605
Cu  0.569  0.502  0.812
Cu  0.569  0.998  0.812
Cu  0.582  0.750  0.015
Cu  0.687  0.750  0.241
Cu  0.813  0.250  0.741
Cu  0.918  0.250  0.515
Cu  0.931  0.002  0.312
Cu  0.931  0.498  0.312
Cu  0.949  0.750  0.105

Calculated values
DFT total energy (eV/atom): -3.575


(2)
Crystalline LiCa2Cu at its relaxed geometry. Source: Alexandria via LeMat-Bulk, functional PBE-GGA.

Unit cell a=7.350 b=7.350 c=7.350 alpha=90.00 beta=90.00 gamma=90.00
Fractional positions:
Li  0.000  0.000  0.000
Li  0.000  0.500  0.500
Li  0.500  0.000  0.500
Li  0.500  0.500  0.000
Ca  0.000  0.000  0.500
Ca  0.000  0.500  0.000
Ca  0.250  0.250  0.250
Ca  0.250  0.750  0.750
Ca  0.500  0.000  0.000
Ca  0.500  0.500  0.500
Ca  0.750  0.250  0.750
Ca  0.750  0.750  0.250
Cu  0.250  0.250  0.750
Cu  0.250  0.750  0.250
Cu  0.750  0.250  0.250
Cu  0.750  0.750  0.750

Calculated values
DFT total energy (eV/atom): -2.304


(3)
Crystalline LiCaCu2 at its relaxed geometry. Source: Alexandria via LeMat-Bulk, functional PBE-GGA.

Unit cell a=7.308 b=4.257 c=5.614 alpha=90.00 beta=116.61 gamma=90.00
Fractional positions:
Li  0.000  0.000  0.000
Li  0.500  0.500  0.000
Ca  0.198  0.000  0.588
Ca  0.698  0.500  0.588
Cu  0.230  0.500  0.185
Cu  0.403  0.000  0.208
Cu  0.730  0.000  0.185
Cu  0.903  0.500  0.208

Calculated values
DFT total energy (eV/atom): -3.074


(4)
Crystalline Li12Ca16Cu at its relaxed geometry. Source: Alexandria via LeMat-Bulk, functional PBE-GGA.

Unit cell a=10.321 b=10.321 c=10.621 alpha=107.30 beta=107.30 gamma=107.21
Fractional positions:
Li  0.000  0.000  0.000
Li  0.123  0.516  0.937
Li  0.143  0.143  0.330
Li  0.175  0.980  0.798
Li  0.282  0.657  0.269
Li  0.300  0.490  0.463
Li  0.471  0.650  0.083
Li  0.490  0.300  0.463
Li  0.516  0.123  0.937
Li  0.650  0.471  0.083
Li  0.657  0.282  0.269
Li  0.980  0.175  0.798
Ca  0.006  0.622  0.433
Ca  0.302  0.302  0.099
Ca  0.310  0.939  0.122
Ca  0.327  0.969  0.542
Ca  0.328  0.714  0.784
Ca  0.346  0.346  0.755
Ca  0.622  0.006  0.433
Ca  0.623  0.623  0.398
Ca  0.671  0.900  0.749
Ca  0.714  0.328  0.784
Ca  0.722  0.947  0.122
Ca  0.900  0.671  0.749
Ca  0.939  0.310  0.122
Ca  0.947  0.722  0.122
Ca  0.959  0.959  0.493
Ca  0.969  0.327  0.542
Cu  0.642  0.642  0.875

Calculated values
DFT total energy (eV/atom): -1.996


(5)
Crystalline Li3CaCu8 at its relaxed geometry. Source: Alexandria via LeMat-Bulk, functional PBE-GGA.

Unit cell a=4.974 b=4.974 c=8.269 alpha=90.00 beta=90.00 gamma=120.00
Fractional positions:
Li  0.000  0.000  0.000
Li  0.000  0.000  0.352
Li  0.333  0.667  0.905
Ca  0.333  0.667  0.511
Cu  0.001  0.501  0.190
Cu  0.330  0.165  0.704
Cu  0.499  0.501  0.190
Cu  0.499  0.999  0.190
Cu  0.667  0.333  0.444
Cu  0.667  0.333  0.945
Cu  0.835  0.165  0.704
Cu  0.835  0.670  0.704

Calculated values
DFT total energy (eV/atom): -3.464


(6)
Crystalline LiCa2Cu at its relaxed geometry. Source: Alexandria via LeMat-Bulk, functional PBE-GGA.

Unit cell a=8.234 b=8.234 c=6.870 alpha=90.00 beta=90.00 gamma=90.00
Fractional positions:
Li  0.000  0.000  0.000
Li  0.000  0.500  0.250
Li  0.500  0.000  0.750
Li  0.500  0.500  0.500
Ca  0.210  0.750  0.625
Ca  0.250  0.210  0.375
Ca  0.250  0.290  0.875
Ca  0.290  0.750  0.125
Ca  0.710  0.250  0.125
Ca  0.750  0.710  0.875
Ca  0.750  0.790  0.375
Ca  0.790  0.250  0.625
Cu  0.000  0.000  0.500
Cu  0.000  0.500  0.750
Cu  0.500  0.000  0.250
Cu  0.500  0.500  0.000

Calculated values
DFT total energy (eV/atom): -2.320


(7)
Crystalline LiCa2Cu at its relaxed geometry. Source: Alexandria via LeMat-Bulk, functional PBE-GGA.

Unit cell a=4.454 b=4.454 c=10.481 alpha=90.00 beta=90.00 gamma=90.00
Fractional positions:
Li  0.000  0.000  0.000
Li  0.500  0.500  0.500
Ca  0.000  0.000  0.500
Ca  0.000  0.500  0.750
Ca  0.500  0.000  0.250
Ca  0.500  0.500  0.000
Cu  0.000  0.500  0.250
Cu  0.500  0.000  0.750

Calculated values
DFT total energy (eV/atom): -2.395


(8)
Crystalline Li5Ca2Cu5 at its relaxed geometry. Source: Alexandria via LeMat-Bulk, functional PBE-GGA.

Unit cell a=4.318 b=5.452 c=8.934 alpha=90.00 beta=90.00 gamma=90.00
Fractional positions:
Li  0.000  0.000  0.000
Li  0.000  0.255  0.259
Li  0.000  0.255  0.741
Li  0.000  0.745  0.259
Li  0.000  0.745  0.741
Ca  0.500  0.000  0.500
Ca  0.500  0.500  0.000
Cu  0.000  0.500  0.500
Cu  0.500  0.000  0.156
Cu  0.500  0.000  0.844
Cu  0.500  0.500  0.354
Cu  0.500  0.500  0.646

Calculated values
DFT total energy (eV/atom): -2.888


Please write out number 5 again, unchanged.
Crystalline Li3CaCu8 at its relaxed geometry. Source: Alexandria via LeMat-Bulk, functional PBE-GGA.

Unit cell a=4.974 b=4.974 c=8.269 alpha=90.00 beta=90.00 gamma=120.00
Fractional positions:
Li  0.000  0.000  0.000
Li  0.000  0.000  0.352
Li  0.333  0.667  0.905
Ca  0.333  0.667  0.511
Cu  0.001  0.501  0.190
Cu  0.330  0.165  0.704
Cu  0.499  0.501  0.190
Cu  0.499  0.999  0.190
Cu  0.667  0.333  0.444
Cu  0.667  0.333  0.945
Cu  0.835  0.165  0.704
Cu  0.835  0.670  0.704

Calculated values
DFT total energy (eV/atom): -3.464